Compound: Cs2LiCl
Source: Alexandria
Functional: PBE
Structure: optimized geometry

Theoretical density: 1.88 g/cm3
Formation energy without anion corrections: -3.0 eV/f.u.
Uncorrected energy: -2.119 eV/atom
Excess energy over the best structure of this formula in the dataset: 51 meV/atom

a = 8.930 Å, b = 8.930 Å, c = 8.930 Å
α = 112.61°, β = 112.61°, γ = 103.35°
Fractional coordinates of all 8 atoms:
Cs: 0.053 0.625 0.928
Cs: 0.375 0.303 0.428
Cs: 0.697 0.125 0.072
Cs: 0.875 0.947 0.572
Li: 0.250 0.750 0.500
Li: 0.500 0.500 0.000
Cl: 0.000 0.000 0.000
Cl: 0.750 0.250 0.500

Compound: Cs2LiCl
Source: Alexandria
Functional: PBE
Structure: optimized geometry

Theoretical density: 2.56 g/cm3
Formation energy without anion corrections: -2.6 eV/f.u.
Uncorrected energy: -2.014 eV/atom
Excess energy over the best structure of this formula in the dataset: 157 meV/atom

a = 6.561 Å, b = 6.561 Å, c = 6.561 Å
α = 60.00°, β = 60.00°, γ = 60.00°
Fractional coordinates of all 4 atoms:
Cs: 0.250 0.250 0.250
Cs: 0.750 0.750 0.750
Li: 0.000 0.000 0.000
Cl: 0.500 0.500 0.500

Compound: Cs3Li2Cl5
Source: Alexandria
Functional: PBE
Structure: optimized geometry

Theoretical density: 3.18 g/cm3
Formation energy without anion corrections: -18.9 eV/f.u.
Uncorrected energy: -3.456 eV/atom

a = 12.753 Å, b = 12.753 Å, c = 4.226 Å
α = 99.53°, β = 99.53°, γ = 146.68°
Fractional coordinates of all 10 atoms:
Cs: 0.000 0.000 0.000
Cs: 0.370 0.622 0.494
Cs: 0.622 0.370 0.494
Li: 0.196 0.766 0.479
Li: 0.766 0.196 0.479
Cl: 0.126 0.887 0.505
Cl: 0.353 0.840 0.095
Cl: 0.502 0.502 0.001
Cl: 0.840 0.353 0.095
Cl: 0.887 0.126 0.505